Entry i
VASP calculation (GGA-PBE) on an optimized crystal structure of Sm7Sc.

Unit cell a=7.157 b=7.157 c=7.157 alpha=60.00 beta=60.00 gamma=60.00
Sites, in units of the cell vectors:
Sm  0.500  0.500  0.000
Sm  0.500  0.000  0.500
Sm  0.000  0.500  0.500
Sm  0.500  0.000  0.000
Sm  0.000  0.500  0.000
Sm  0.000  0.000  0.500
Sm  0.500  0.500  0.500
Sc  0.000  0.000  0.000

Properties
Total moment, μB/cell: 0.0
Space group: No. 225



Entry ii
VASP calculation (GGA-PBE) on an optimized crystal structure of Sm7Sc.

Unit cell a=3.526 b=8.814 c=8.814 alpha=79.15 beta=78.48 gamma=78.48
Sites, in units of the cell vectors:
Sm  0.739  0.761  0.761
Sm  0.261  0.239  0.239
Sm  0.000  0.500  0.500
Sm  0.629  0.610  0.132
Sm  0.371  0.390  0.868
Sm  0.371  0.868  0.390
Sm  0.629  0.132  0.610
Sc  0.000  0.000  0.000

Properties
Total moment, μB/cell: 0.0
Space group: No. 71



Winner for stability: entry i



Entry i
VASP calculation (GGA-PBE) on an optimized crystal structure of Sm5Sc2.

Unit cell a=6.078 b=6.078 c=9.305 alpha=71.39 beta=122.67 gamma=131.48
Sites, in units of the cell vectors:
Sm  0.152  0.071  0.724
Sm  0.848  0.929  0.276
Sm  0.286  0.645  0.431
Sm  0.714  0.355  0.569
Sm  0.000  0.500  0.000
Sc  0.422  0.217  0.139
Sc  0.578  0.783  0.861

Properties
Total moment, μB/cell: 0.0
Space group: No. 12



Entry ii
VASP calculation (GGA-PBE) on an optimized crystal structure of Sm5Sc2.

Unit cell a=6.210 b=9.105 c=8.376 alpha=95.20 beta=111.76 gamma=90.00
Sites, in units of the cell vectors:
Sm  0.311  0.462  0.272
Sm  0.039  0.038  0.728
Sm  0.122  0.677  0.565
Sm  0.557  0.823  0.435
Sm  0.878  0.323  0.435
Sm  0.443  0.177  0.565
Sm  0.961  0.962  0.272
Sm  0.689  0.538  0.728
Sm  0.825  0.250  0.000
Sm  0.175  0.750  0.000
Sc  0.271  0.393  0.862
Sc  0.409  0.107  0.138
Sc  0.729  0.607  0.138
Sc  0.591  0.893  0.862

Properties
Total moment, μB/cell: 0.0
Space group: No. 15



Winner for stability: entry ii



Entry i
VASP calculation (GGA-PBE) on an optimized crystal structure of Sm3Sc5.

Unit cell a=3.449 b=5.426 c=11.978 alpha=90.00 beta=90.00 gamma=90.00
Each line ends with the local moment (μB).
Sites, in units of the cell vectors:
Sm  0.500  0.000  0.712  0.03
Sm  0.500  0.500  0.527  0.04
Sm  0.000  0.500  0.806  0.05
Sc  0.000  0.000  0.974  0.17
Sc  0.500  0.000  0.208  0.20
Sc  0.000  0.000  0.440  0.10
Sc  0.500  0.500  0.052  0.15
Sc  0.000  0.500  0.281  0.12

Properties
Total moment, μB/cell: 1.6
Space group: No. 25



Entry ii
VASP calculation (GGA-PBE) on an optimized crystal structure of Sm3Sc5.

Unit cell a=3.426 b=3.426 c=18.938 alpha=90.00 beta=90.00 gamma=90.00
Sites, in units of the cell vectors:
Sm  0.000  0.000  0.142
Sm  0.500  0.500  0.000
Sm  0.000  0.000  0.858
Sc  0.500  0.500  0.728
Sc  0.000  0.000  0.614
Sc  0.500  0.500  0.500
Sc  0.000  0.000  0.386
Sc  0.500  0.500  0.272

Properties
Total moment, μB/cell: 0.0
Space group: No. 123



Winner for stability: entry i



Entry i
VASP calculation (GGA-PBE) on an optimized crystal structure of Sm2ScSn.

Unit cell a=4.183 b=4.183 c=6.458 alpha=90.00 beta=90.00 gamma=90.00
Sites, in units of the cell vectors:
Sc  0.500  0.500  0.000
Sn  0.500  0.500  0.500
Sm  0.000  0.000  0.738
Sm  0.000  0.000  0.262

Properties
Total moment, μB/cell: 0.0
Space group: No. 123



Entry ii
VASP calculation (GGA-PBE) on an optimized crystal structure of Sm2ScSn.

Unit cell a=4.802 b=4.758 c=4.758 alpha=90.00 beta=90.00 gamma=90.00
Sites, in units of the cell vectors:
Sc  0.500  0.500  0.500
Sn  0.500  0.000  0.000
Sm  0.000  0.000  0.500
Sm  0.000  0.500  0.000

Properties
Total moment, μB/cell: 0.0
Space group: No. 123



Entry iii
VASP calculation (GGA-PBE) on an optimized crystal structure of Sm2ScSn.

Unit cell a=5.394 b=5.394 c=5.394 alpha=60.00 beta=60.00 gamma=60.00
Each line ends with the local moment (μB).
Sites, in units of the cell vectors:
Sc  0.000  0.000  0.000  0.10
Sn  0.500  0.500  0.500  -0.01
Sm  0.250  0.250  0.250  0.04
Sm  0.750  0.750  0.750  0.04

Properties
Total moment, μB/cell: 0.3
Space group: No. 225



Winner for stability: entry ii



Entry i
VASP calculation (GGA-PBE) on an optimized crystal structure of SmSc2Sn.

Unit cell a=4.543 b=4.436 c=10.952 alpha=101.68 beta=90.00 gamma=90.00
Sites, in units of the cell vectors:
Sm  0.250  0.310  0.620
Sm  0.750  0.690  0.380
Sc  0.750  0.446  0.893
Sc  0.250  0.554  0.107
Sc  0.250  0.939  0.879
Sc  0.750  0.061  0.121
Sn  0.750  0.843  0.686
Sn  0.250  0.157  0.314

Properties
Total moment, μB/cell: 0.0
Space group: No. 63



Entry ii
VASP calculation (GGA-PBE) on an optimized crystal structure of SmSc2Sn.

Unit cell a=6.318 b=4.199 c=8.720 alpha=90.00 beta=90.00 gamma=109.41
Sites, in units of the cell vectors:
Sm  0.393  0.946  0.750
Sm  0.607  0.054  0.250
Sc  0.229  0.365  0.448
Sc  0.771  0.635  0.552
Sc  0.229  0.365  0.052
Sc  0.771  0.635  0.948
Sn  0.024  0.762  0.250
Sn  0.976  0.238  0.750

Properties
Total moment, μB/cell: 0.3
Space group: No. 63



Winner for stability: entry i